# CePuMnCu

An optimized crystal structure of CePuMnCu (PBE, the Alexandria database).

DFT formation energy = 0.17 eV per atom

Geometry as POSCAR:
```
CePuMnCu
1.0
6.590 0.000 0.000
0.000 6.590 0.000
0.000 0.000 6.590
Ce Pu Mn Cu
4 4 4 4
Direct
0.000 0.000 0.000 Ce
0.000 0.500 0.500 Ce
0.500 0.000 0.500 Ce
0.500 0.500 0.000 Ce
0.250 0.250 0.250 Pu
0.250 0.750 0.750 Pu
0.750 0.250 0.750 Pu
0.750 0.750 0.250 Pu
0.250 0.250 0.750 Mn
0.250 0.750 0.250 Mn
0.750 0.250 0.250 Mn
0.750 0.750 0.750 Mn
0.000 0.000 0.500 Cu
0.000 0.500 0.000 Cu
0.500 0.000 0.000 Cu
0.500 0.500 0.500 Cu
```



# BaNbBr6

An optimized crystal structure of BaNbBr6 (PBE, the Alexandria database).

E_form (uncorrected) = -124 kJ per mole of atoms

Geometry as POSCAR:
```
BaNbBr6
1.0
7.689 0.000 0.000
0.000 11.641 0.000
-1.863 0.000 6.601
Ba Nb Br
2 2 12
Direct
0.000 0.000 0.000 Ba
0.500 0.500 0.000 Ba
0.000 0.500 0.500 Nb
0.500 0.000 0.500 Nb
0.163 0.340 0.750 Br
0.163 0.660 0.750 Br
0.238 0.000 0.666 Br
0.262 0.500 0.334 Br
0.337 0.160 0.250 Br
0.337 0.840 0.250 Br
0.663 0.160 0.750 Br
0.663 0.840 0.750 Br
0.738 0.500 0.666 Br
0.762 0.000 0.334 Br
0.837 0.340 0.250 Br
0.837 0.660 0.250 Br
```